The following is a GGA-PBE calculation of crystalline ReSiTe4 at its relaxed geometry, from Alexandria via LeMat-Bulk.

## Properties
E_tot: -3.5299 eV per atom
density of states at the Fermi level: 4.0 states/eV per cell
space group: F-43m (216)
uncorrected formation energy: 1.54 eV per atom

POSCAR file:
```
ReSiTe4
1.0
0.000 4.393 4.393
4.393 0.000 4.393
4.393 4.393 0.000
Re Si Te
1 1 4
Direct
0.000 0.000 0.000
0.750 0.750 0.750
0.375 0.375 0.375
0.375 0.375 0.876
0.375 0.876 0.375
0.876 0.375 0.375
```